Entry 1:
A relaxed Si2OsCl crystal, computed with PBE.

a b c (Å): 3.1532 5.0225 8.7548
angles (deg): 90.00 90.00 90.00
Space group Cmm2 (No. 35)
Asymmetric unit:
Si1 0.0000 0.0000 0.0000 [2 per cell]
Si2 0.0000 0.5000 0.2166 [2 per cell]
Os1 0.0000 0.5000 0.8098 [2 per cell]
Cl1 0.0000 0.0000 0.4240 [2 per cell]

Its uncorrected formation energy is 509 meV per atom. Its polymorph energy (0 for the lowest one) is 13.77 kcal/mol of atoms. The density comes out at 6.75 g cm⁻³. The value obtained for the raw total energy is -5.4713 eV/atom.

***

Entry 2:
A relaxed KZn2Sn crystal, computed with PBE.

a b c (Å): 4.7901 4.7901 17.8278
angles (deg): 90.00 90.00 120.00
Space group R-3m (No. 166, hexagonal axes)
Asymmetric unit:
K1 0.0000 0.0000 0.0000 [3 per cell]
Zn1 0.0000 0.0000 0.1990 [6 per cell]
Sn1 0.0000 0.0000 0.5000 [3 per cell]

For the energy of formation, the calculation gives 0.00 eV/atom. The density comes out at 4.06 g cm⁻³. The value obtained for the raw total energy is -1.9171 eV/atom.

***

Entry 3:
A relaxed SbTeSeN2 crystal, computed with PBE.

a b c (Å): 4.0352 4.0352 6.8741
angles (deg): 90.00 90.00 90.00
Space group P4/mmm (No. 123)
Asymmetric unit:
Sb1 0.0000 0.0000 0.0000 [1 per cell]
Te1 0.0000 0.0000 0.5000 [1 per cell]
Se1 0.5000 0.5000 0.5000 [1 per cell]
N1 0.0000 0.5000 0.0000 [2 per cell]

Its uncorrected formation energy is 1206 meV per atom. Its polymorph energy (0 for the lowest one) is 0.00 kcal/mol of atoms. The density comes out at 5.29 g cm⁻³. The value obtained for the raw total energy is -4.2738 eV/atom.

***

Entry 4:
A relaxed LiLuInSn crystal, computed with PBE.

a b c (Å): 7.2223 7.2223 7.2223
angles (deg): 90.00 90.00 90.00
Space group F-43m (No. 216)
Asymmetric unit:
Li1 0.0000 0.0000 0.0000 [4 per cell]
Lu1 0.0000 0.0000 0.5000 [4 per cell]
In1 0.2500 0.2500 0.2500 [4 per cell]
Sn1 0.2500 0.2500 0.7500 [4 per cell]

For the energy of formation, the calculation gives -0.36 eV/atom. The density comes out at 7.32 g cm⁻³. The value obtained for the raw total energy is -3.6523 eV/atom.

***

Entry 5:
A relaxed Pr2Cu2Hg3 crystal, computed with PBE.

a b c (Å): 4.3557 20.1435 3.8620
angles (deg): 90.00 90.00 90.00
Space group Cmmm (No. 65)
Asymmetric unit:
Pr1 0.0000 0.1674 0.0000 [4 per cell]
Cu1 0.0000 0.2816 0.5000 [4 per cell]
Hg1 0.0000 0.0000 0.0000 [2 per cell]
Hg2 0.0000 0.4221 0.5000 [4 per cell]

For the energy of formation, the calculation gives -0.25 eV/atom. The density comes out at 9.91 g cm⁻³. The value obtained for the raw total energy is -2.9160 eV/atom.

***

Entry 6:
A relaxed Ce6In2CoTc crystal, computed with PBE.

a b c (Å): 7.3541 7.3549 7.3777
angles (deg): 119.87 90.03 119.98
Space group P1 (No. 1)
Asymmetric unit:
Ce1 0.0000 0.0000 0.0000 [1 per cell]
Ce2 0.0000 0.4929 0.4830 [1 per cell]
Ce3 0.0007 0.9925 0.4842 [1 per cell]
Ce4 0.4981 0.9893 0.4806 [1 per cell]
Ce5 0.5109 0.9968 0.9965 [1 per cell]
Ce6 0.5116 0.5103 0.9970 [1 per cell]
In1 0.0050 0.4997 0.9940 [1 per cell]
In2 0.5051 0.5000 0.4944 [1 per cell]
Co1 0.7525 0.9946 0.2369 [1 per cell]
Tc1 0.2732 0.0362 0.7987 [1 per cell]

For the energy of formation, the calculation gives -0.17 eV/atom. The density comes out at 7.21 g cm⁻³. The value obtained for the raw total energy is -6.0254 eV/atom.

***

Entry 7:
A relaxed PmBe17Al crystal, computed with PBE.

a b c (Å): 7.6541 7.6541 11.0094
angles (deg): 90.00 90.00 120.00
Space group R3m (No. 160, hexagonal axes)
Asymmetric unit:
Pm1 0.0000 0.0000 0.0000 [3 per cell]
Be1 0.0000 0.0000 0.2519 [3 per cell]
Be2 0.0000 0.0000 0.4483 [3 per cell]
Be3 0.0048 0.2876 0.3473 [18 per cell]
Be4 0.0055 0.5028 0.8447 [9 per cell]
Be5 0.0099 0.5050 0.1882 [9 per cell]
Be6 0.1681 0.3362 0.8374 [9 per cell]
Al1 0.0000 0.0000 0.6927 [3 per cell]

For the energy of formation, the calculation gives 0.02 eV/atom. The density comes out at 2.90 g cm⁻³. The value obtained for the raw total energy is -3.7643 eV/atom.

***

Entry 8:
A relaxed Sr4CrIn crystal, computed with PBE.

a b c (Å): 10.0595 10.0595 10.0595
angles (deg): 90.00 90.00 90.00
Space group F-43m (No. 216)
Asymmetric unit:
Sr1 0.1251 0.1251 0.1251 [16 per cell]
Cr1 0.2500 0.2500 0.7500 [4 per cell]
In1 0.0000 0.0000 0.5000 [4 per cell]

For the energy of formation, the calculation gives 0.68 eV/atom. The density comes out at 3.38 g cm⁻³. The value obtained for the raw total energy is -2.5034 eV/atom.

***

Entry 9:
A relaxed Mg2InSn crystal, computed with PBE.

a b c (Å): 3.8006 3.8006 6.6508
angles (deg): 90.00 90.00 90.00
Space group P4/mmm (No. 123)
Asymmetric unit:
Mg1 0.0000 0.0000 0.2487 [2 per cell]
In1 0.5000 0.5000 0.5000 [1 per cell]
Sn1 0.5000 0.5000 0.0000 [1 per cell]

For the energy of formation, the calculation gives -0.08 eV/atom. The density comes out at 4.88 g cm⁻³. The value obtained for the raw total energy is -2.5644 eV/atom.

***

Entry 10:
A relaxed ZrMn3Zn crystal, computed with PBE.

a b c (Å): 4.5436 4.5436 4.5436
angles (deg): 90.00 90.00 90.00
Space group Pm-3m (No. 221)
Asymmetric unit:
Zr1 0.0000 0.0000 0.0000 [1 per cell]
Mn1 0.0000 0.5000 0.5000 [3 per cell]
Zn1 0.5000 0.5000 0.5000 [1 per cell]

For the energy of formation, the calculation gives 0.82 eV/atom. Its polymorph energy (0 for the lowest one) is 0.00 kcal/mol of atoms. The density comes out at 5.69 g cm⁻³. The value obtained for the raw total energy is -6.6457 eV/atom.

***

Entry 11:
A relaxed Ce2MgPd crystal, computed with PBE.

a b c (Å): 3.0457 3.0457 34.5813
angles (deg): 90.00 90.00 120.00
Space group R-3m (No. 166, hexagonal axes)
Asymmetric unit:
Ce1 0.0000 0.0000 0.0943 [6 per cell]
Mg1 0.0000 0.0000 0.0000 [3 per cell]
Pd1 0.0000 0.0000 0.5000 [3 per cell]

For the energy of formation, the calculation gives -0.01 eV/atom. Its polymorph energy (0 for the lowest one) is 6.55 kcal/mol of atoms. The density comes out at 7.37 g cm⁻³. The value obtained for the raw total energy is -4.6733 eV/atom.

***

Entry 12:
A relaxed Np2Mo crystal, computed with PBE.

a b c (Å): 3.2794 3.2794 9.8235
angles (deg): 90.00 90.00 90.00
Space group I4/mmm (No. 139)
Asymmetric unit:
Np1 0.0000 0.0000 0.1869 [4 per cell]
Mo1 0.0000 0.0000 0.5000 [2 per cell]

For the energy of formation, the calculation gives 0.22 eV/atom. The density comes out at 17.92 g cm⁻³. The value obtained for the raw total energy is -12.0193 eV/atom.

***

Entry 13:
A relaxed Ho4Zn2S crystal, computed with PBE.

a b c (Å): 12.5000 3.8818 8.5216
angles (deg): 90.00 124.87 90.00
Space group C2/m (No. 12)
Asymmetric unit:
Ho1 0.0934 0.0000 0.3783 [4 per cell]
Ho2 0.1730 0.5000 0.0843 [4 per cell]
Zn1 0.1143 0.5000 0.6727 [4 per cell]
S1 0.0000 0.0000 0.0000 [2 per cell]

Its uncorrected formation energy is -732 meV per atom. The density comes out at 8.05 g cm⁻³. The value obtained for the raw total energy is -4.3014 eV/atom.

***

Entry 14:
A relaxed LiCd2MoW crystal, computed with PBE.

a b c (Å): 4.2816 4.2816 4.6290
angles (deg): 90.00 90.00 90.00
Space group P4/mmm (No. 123)
Asymmetric unit:
Li1 0.0000 0.0000 0.0000 [1 per cell]
Cd1 0.0000 0.5000 0.0000 [2 per cell]
Mo1 0.0000 0.0000 0.5000 [1 per cell]
W1 0.5000 0.5000 0.5000 [1 per cell]

For the energy of formation, the calculation gives 1.24 eV/atom. The density comes out at 10.01 g cm⁻³. The value obtained for the raw total energy is -4.2699 eV/atom.

***

Entry 15:
A relaxed LaNd3Er2S6 crystal, computed with PBE.

a b c (Å): 6.9386 12.0463 6.9810
angles (deg): 90.00 109.47 90.00
Space group C2/m (No. 12)
Asymmetric unit:
La1 0.0000 0.0000 0.0000 [2 per cell]
Nd1 0.0000 0.1612 0.5000 [4 per cell]
Nd2 0.0000 0.5000 0.5000 [2 per cell]
Er1 0.0000 0.3331 0.0000 [4 per cell]
S1 0.2308 0.5000 0.2343 [4 per cell]
S2 0.2465 0.3264 0.7601 [8 per cell]

Its uncorrected formation energy is -2025 meV per atom. The density comes out at 6.63 g cm⁻³. The value obtained for the raw total energy is -6.4519 eV/atom.

***

Entry 16:
A relaxed ZnTe2 crystal, computed with PBE.

a b c (Å): 6.3208 6.3208 10.7455
angles (deg): 90.00 90.00 120.00
Space group P6_3/mmc (No. 194)
Asymmetric unit:
Zn1 0.3333 0.6667 0.0155 [4 per cell]
Te1 0.0000 0.0000 0.0000 [2 per cell]
Te2 0.1648 0.3296 0.7500 [6 per cell]

Its uncorrected formation energy is 441 meV per atom. The density comes out at 5.73 g cm⁻³. The value obtained for the raw total energy is -2.0784 eV/atom.

***

Entry 17:
A relaxed Pt2I2Cl crystal, computed with PBE.

a b c (Å): 3.9699 3.9699 15.7026
angles (deg): 90.00 90.00 90.00
Space group I4/mmm (No. 139)
Asymmetric unit:
Pt1 0.0000 0.5000 0.2500 [4 per cell]
I1 0.0000 0.0000 0.1261 [4 per cell]
Cl1 0.0000 0.0000 0.5000 [2 per cell]

Its uncorrected formation energy is 207 meV per atom. The density comes out at 9.12 g cm⁻³. The value obtained for the raw total energy is -3.1986 eV/atom.

***

Entry 18:
A relaxed Cs2MoAsCl6 crystal, computed with PBE.

a b c (Å): 7.2065 7.2065 12.1537
angles (deg): 90.00 90.00 90.00
Space group I4/mmm (No. 139)
Asymmetric unit:
Cs1 0.0000 0.5000 0.2500 [4 per cell]
Mo1 0.0000 0.0000 0.0000 [2 per cell]
As1 0.0000 0.0000 0.5000 [2 per cell]
Cl1 0.0000 0.0000 0.2025 [4 per cell]
Cl2 0.2466 0.2466 0.0000 [8 per cell]

Its uncorrected formation energy is -1042 meV per atom. The density comes out at 3.42 g cm⁻³. The value obtained for the raw total energy is -3.8684 eV/atom.

***

Entry 19:
A relaxed CdPRu2 crystal, computed with PBE.

a b c (Å): 2.8447 3.6160 6.3185
angles (deg): 90.00 90.00 90.00
Space group Pmm2 (No. 25)
Asymmetric unit:
Cd1 0.0000 0.0000 0.0000 [1 per cell]
P1 0.5000 0.5000 0.3641 [1 per cell]
Ru1 0.0000 0.0000 0.4725 [1 per cell]
Ru2 0.5000 0.5000 0.7286 [1 per cell]

For the energy of formation, the calculation gives 0.11 eV/atom. Its polymorph energy (0 for the lowest one) is 5.52 kcal/mol of atoms. The density comes out at 8.83 g cm⁻³. The value obtained for the raw total energy is -6.1069 eV/atom.

***

Entry 20:
A relaxed HfOsN2F crystal, computed with PBE.

a b c (Å): 3.8901 3.8901 4.1143
angles (deg): 90.00 90.00 90.00
Space group P4/mmm (No. 123)
Asymmetric unit:
Hf1 0.0000 0.0000 0.0000 [1 per cell]
Os1 0.5000 0.5000 0.5000 [1 per cell]
N1 0.0000 0.5000 0.5000 [2 per cell]
F1 0.5000 0.5000 0.0000 [1 per cell]

Its uncorrected formation energy is 192 meV per atom. Its polymorph energy (0 for the lowest one) is 0.00 kcal/mol of atoms. The density comes out at 11.09 g cm⁻³. The value obtained for the raw total energy is -7.7493 eV/atom.